Record 1
Ac2InAu8 (GGA-PBE, optimized geometry); calculated formation energy = -0.5339 eV per atom; size of the total moment = 0.00 μB/cell
1.0
-4.6949 -2.7034 -1.1172
0.0516 -5.4804 0.3868
-0.2035 4.7113 9.4781
Ac In Au
2 1 8
direct
0.6526 0.6526 0.3053 Ac
0.3474 0.3474 0.6947 Ac
0.5000 0.0000 0.0000 In
0.2776 0.2799 0.2447 Au
0.0329 0.0352 0.7553 Au
0.8026 0.3810 0.0000 Au
0.7494 0.2494 0.4988 Au
0.2506 0.7506 0.5012 Au
0.1974 0.6190 0.0000 Au
0.9671 0.9648 0.2447 Au
0.7224 0.7201 0.7553 Au

=====

Record 2
ZrCu2BTe (GGA-PBE, optimized geometry); formation energy (no corrections) = 132.2 kJ/mol of atoms; size of the total moment = 0.00 μB/cell
1.0
4.5852 0.0000 0.0000
0.0000 5.5546 0.0000
0.0000 0.0000 4.5852
B Te Cu Zr
1 1 2 1
direct
0.5000 0.5000 0.5000 B
0.0000 0.0000 0.0000 Te
0.0000 0.0000 0.5000 Cu
0.5000 0.0000 0.0000 Cu
0.0000 0.5000 0.0000 Zr

=====

Record 3
YHgBr2 (GGA-PBE, optimized geometry); offset from the most stable computed form = 0.452 eV per atom; formation energy (no corrections) = -70.5 kJ/mol of atoms; size of the total moment = 0.00 μB/cell
1.0
-0.3425 -6.1094 0.3020
3.9632 -3.2291 -3.3764
0.2516 4.6732 3.9537
Y Hg Br
1 1 2
direct
0.7500 0.2500 0.5000 Y
0.5000 0.5000 0.0000 Hg
0.0000 0.0000 0.0000 Br
0.2500 0.7500 0.5000 Br

=====

Record 4
ZrScF3 (GGA-PBE, optimized geometry); offset from the most stable computed form = 0.135 eV per atom; formation energy (no corrections) = -184.1 kJ/mol of atoms; size of the total moment = 3.41 μB/cell
1.0
-1.9633 -3.2941 -2.2003
3.6567 -0.5624 -2.4207
1.5237 -2.8947 2.9742
Sc Zr F
1 1 3
direct
0.5000 0.5000 0.5000 Sc
0.0000 0.0000 0.0000 Zr
0.0000 0.5000 0.0000 F
0.0000 0.0000 0.5000 F
0.5000 0.0000 0.0000 F

=====

Record 5
CaRePb2 (GGA-PBE, optimized geometry); offset from the most stable computed form = 0.216 eV per atom; calculated formation energy = 0.5949 eV per atom; size of the total moment = 0.80 μB/cell
1.0
-5.0087 0.9930 1.0445
-0.5917 -3.3205 0.3194
0.8946 -1.3691 5.5919
Pb Re Ca
2 1 1
direct
0.0000 0.0511 0.0139 Pb
0.5000 0.4266 0.2715 Pb
0.0000 0.3247 0.4878 Re
0.5000 0.6975 0.7268 Ca

=====

Record 6
Sr2IrRhO8 (GGA-PBE, optimized geometry); formation energy (no corrections) = -132.0 kJ/mol of atoms; size of the total moment = 1.65 μB/cell
1.0
6.0501 -1.1165 0.6494
-0.8001 5.1646 -0.6101
0.6921 -0.8281 6.0838
Sr Ir Rh O
2 1 1 8
direct
0.6594 0.3831 0.6799 Sr
0.3406 0.6169 0.3201 Sr
0.0000 0.0000 0.0000 Ir
0.0000 0.0000 0.5000 Rh
0.0699 0.7890 0.1788 O
0.6964 0.7843 0.0300 O
0.9430 0.2282 0.3110 O
0.9301 0.2110 0.8212 O
0.3036 0.2157 0.9700 O
0.0570 0.7718 0.6890 O
0.6770 0.8029 0.5301 O
0.3230 0.1971 0.4699 O

=====

Record 7
CrCdBr2 (GGA-PBE, optimized geometry); offset from the most stable computed form = 0.412 eV per atom; formation energy (no corrections) = 7.9 kJ/mol of atoms; size of the total moment = 4.26 μB/cell
1.0
0.0000 3.6493 3.6493
3.6493 0.0000 3.6493
3.6493 3.6493 0.0000
Cr Br Cd
1 2 1
direct
0.0000 0.0000 0.0000 Cr
0.2500 0.2500 0.2500 Br
0.7500 0.7500 0.7500 Br
0.5000 0.5000 0.5000 Cd

=====

Record 8
RbBaPbO4 (GGA-PBE, optimized geometry); formation energy (no corrections) = -133.0 kJ/mol of atoms; size of the total moment = 2.09 μB/cell
1.0
-5.0351 3.1322 1.9270
-1.2069 -4.5536 4.2480
6.3204 1.7172 3.6363
Rb Ba Pb O
2 2 2 8
direct
0.5977 0.7500 0.1953 Rb
0.4023 0.2500 0.8047 Rb
0.1112 0.2500 0.2224 Ba
0.8888 0.7500 0.7776 Ba
0.2385 0.7500 0.4769 Pb
0.7615 0.2500 0.5231 Pb
0.9172 0.2500 0.8344 O
0.3951 0.7500 0.7902 O
0.0828 0.7500 0.1656 O
0.6049 0.2500 0.2098 O
0.5000 0.5000 0.5000 O
0.0000 0.0000 0.5000 O
0.5000 0.0000 0.5000 O
0.0000 0.5000 0.5000 O